Record 1
Ti3BCl (GGA-PBE, optimized geometry); Fermi-level density of states = 6.4 states/eV/cell; energy relative to the elements, uncorrected = 13 kJ/mol of atoms; energy relative to the lowest polymorph listed for this composition = 0.0000 eV per atom; calculated total energy = -0.2317 hartree per atom
1.0
4.358 0.000 0.000
0.000 4.358 0.000
0.000 0.000 4.358
Ti B Cl
3 1 1
direct
0.000 0.000 0.500
0.000 0.500 0.000
0.500 0.000 0.000
0.000 0.000 0.000
0.500 0.500 0.500



Record 2
ScBiNF2 (GGA-PBE, optimized geometry); Fermi-level density of states = 1.3 states/eV/cell; energy relative to the elements, uncorrected = -165 kJ/mol of atoms; energy relative to the lowest polymorph listed for this composition = 0.0000 eV per atom; calculated total energy = -0.2266 hartree per atom
1.0
4.088 0.000 0.000
0.000 4.088 0.000
0.000 0.000 4.467
Sc Bi N F
1 1 1 2
direct
0.000 0.000 0.000
0.500 0.500 0.500
0.000 0.000 0.500
0.000 0.500 0.000
0.500 0.000 0.000



Record 3
NaNdPb2Se4 (GGA-PBE, optimized geometry); energy relative to the elements, uncorrected = -105 kJ/mol of atoms; calculated total energy = -0.1661 hartree per atom
1.0
7.428 0.000 0.000
0.000 4.330 0.000
-2.418 0.000 7.143
Na Nd Pb Se
1 1 2 4
direct
0.000 0.000 0.000
0.500 0.500 0.000
0.000 0.500 0.500
0.500 0.000 0.500
0.255 0.500 0.241
0.258 0.000 0.764
0.742 0.000 0.236
0.745 0.500 0.759



Record 4
La3Tb2In (GGA-PBE, optimized geometry); Fermi-level density of states = 14.5 states/eV/cell; ΔE_f = -0.92 eV/f.u.; energy relative to the lowest polymorph listed for this composition = 0.0000 eV per atom; calculated total energy = -0.1697 hartree per atom
1.0
6.873 0.000 0.000
1.743 6.845 0.000
2.551 2.275 8.429
La Tb In
6 4 2
direct
0.100 0.178 0.152
0.252 0.750 0.496
0.382 0.953 0.829
0.618 0.047 0.171
0.748 0.250 0.504
0.900 0.822 0.848
0.044 0.639 0.217
0.419 0.459 0.846
0.581 0.541 0.154
0.956 0.361 0.783
0.268 0.256 0.458
0.732 0.744 0.542



Record 5
TcAu2 (GGA-PBE, optimized geometry); Fermi-level density of states = 6.3 states/eV/cell; ΔE_f = 1.05 eV/f.u.; energy relative to the lowest polymorph listed for this composition = 0.0789 eV per atom; calculated total energy = -0.1945 hartree per atom
1.0
-1.376 1.376 13.617
1.376 -1.376 13.617
1.376 1.376 -13.617
Tc Au
2 4
direct
0.375 0.625 0.750
0.625 0.375 0.250
0.047 0.797 0.250
0.203 0.953 0.250
0.797 0.047 0.750
0.953 0.203 0.750



Record 6
MgRe2Br (GGA-PBE, optimized geometry); Fermi-level density of states = 10.9 states/eV/cell; energy relative to the elements, uncorrected = 137 kJ/mol of atoms; energy relative to the lowest polymorph listed for this composition = 1.2692 eV per atom; calculated total energy = -0.2064 hartree per atom
1.0
-3.969 3.969 2.413
3.969 -3.969 2.413
3.969 3.969 -2.413
Mg Re Br
2 4 2
direct
0.000 0.000 0.000
0.750 0.250 0.500
0.185 0.125 0.560
0.375 0.815 0.940
0.565 0.625 0.440
0.875 0.435 0.060
0.250 0.750 0.500
0.500 0.500 0.000



Record 7
YPuU2P4 (GGA-PBE, optimized geometry); Fermi-level density of states = 21.2 states/eV/cell; ΔE_f = -9.38 eV/f.u.; calculated total energy = -0.3417 hartree per atom
1.0
6.818 0.000 0.000
0.000 3.944 0.000
-2.283 0.000 6.553
Y Pu U P
1 1 2 4
direct
0.000 0.000 0.000
0.500 0.500 0.000
0.000 0.500 0.500
0.500 0.000 0.500
0.249 0.000 0.745
0.253 0.500 0.257
0.747 0.500 0.743
0.751 0.000 0.255



Record 8
LiNi2B (GGA-PBE, optimized geometry); Fermi-level density of states = 2.6 states/eV/cell; ΔE_f = -0.63 eV/f.u.; calculated total energy = -0.1910 hartree per atom
1.0
1.649 -4.287 0.000
1.649 4.287 0.000
0.000 0.000 5.599
Li Ni B
2 4 2
direct
0.059 0.941 0.750
0.941 0.059 0.250
0.354 0.646 0.541
0.354 0.646 0.959
0.646 0.354 0.041
0.646 0.354 0.459
0.205 0.795 0.250
0.795 0.205 0.750



Record 9
NaBeRuF2 (GGA-PBE, optimized geometry); Fermi-level density of states = 5.1 states/eV/cell; energy relative to the elements, uncorrected = -44 kJ/mol of atoms; calculated total energy = -0.1495 hartree per atom
1.0
3.504 0.000 0.000
0.000 3.504 0.000
0.000 0.000 7.121
Na Be Ru F
1 1 1 2
direct
0.000 0.000 0.000
0.000 0.000 0.500
0.500 0.500 0.000
0.000 0.500 0.500
0.500 0.000 0.500



Record 10
WIN2Cl (GGA-PBE, optimized geometry); Fermi-level density of states = 6.4 states/eV/cell; energy relative to the elements, uncorrected = 286 kJ/mol of atoms; energy relative to the lowest polymorph listed for this composition = 2.3763 eV per atom; calculated total energy = -0.1335 hartree per atom
1.0
3.871 0.000 0.000
0.000 3.871 0.000
0.000 0.000 5.577
W I N Cl
1 1 2 1
direct
0.000 0.000 0.000
0.500 0.500 0.000
0.000 0.500 0.500
0.500 0.000 0.500
0.500 0.500 0.500



Record 11
IrOsSeBr2 (GGA-PBE, optimized geometry); Fermi-level density of states = 8.2 states/eV/cell; energy relative to the elements, uncorrected = 141 kJ/mol of atoms; energy relative to the lowest polymorph listed for this composition = 0.0000 eV per atom; calculated total energy = -0.1442 hartree per atom
1.0
5.134 0.000 0.000
0.000 5.134 0.000
0.000 0.000 4.644
Ir Os Se Br
1 1 1 2
direct
0.000 0.000 0.000
0.500 0.500 0.500
0.500 0.500 0.000
0.000 0.500 0.500
0.500 0.000 0.500



Record 12
In3OsF (GGA-PBE, optimized geometry); Fermi-level density of states = 1.7 states/eV/cell; energy relative to the elements, uncorrected = -20 kJ/mol of atoms; energy relative to the lowest polymorph listed for this composition = 0.0000 eV per atom; calculated total energy = -0.1643 hartree per atom
1.0
5.157 0.000 0.000
0.000 5.157 0.000
0.000 0.000 5.157
In Os F
3 1 1
direct
0.000 0.000 0.500
0.000 0.500 0.000
0.500 0.000 0.000
0.000 0.000 0.000
0.500 0.500 0.500



Record 13
AcHfNi4 (GGA-PBE, optimized geometry); Fermi-level density of states = 3.9 states/eV/cell; ΔE_f = -0.95 eV/f.u.; calculated total energy = -0.2336 hartree per atom
1.0
0.000 3.620 3.620
3.620 0.000 3.620
3.620 3.620 0.000
Ac Hf Ni
1 1 4
direct
0.000 0.000 0.000
0.250 0.250 0.250
0.130 0.623 0.623
0.623 0.130 0.623
0.623 0.623 0.130
0.623 0.623 0.623



Record 14
TlAsRu (GGA-PBE, optimized geometry); Fermi-level density of states = 4.3 states/eV/cell; ΔE_f = -0.09 eV/f.u.; energy relative to the lowest polymorph listed for this composition = 0.1397 eV per atom; calculated total energy = -0.2007 hartree per atom
1.0
3.193 0.000 0.000
1.574 4.303 0.000
1.330 1.116 9.472
Tl As Ru
2 2 2
direct
0.202 0.264 0.370
0.798 0.736 0.630
0.452 0.207 0.871
0.548 0.793 0.129
0.156 0.759 0.912
0.844 0.241 0.088



Record 15
Fe2CuCl (GGA-PBE, optimized geometry); Fermi-level density of states = 3.9 states/eV/cell; energy relative to the elements, uncorrected = 35 kJ/mol of atoms; energy relative to the lowest polymorph listed for this composition = 0.1861 eV per atom; calculated total energy = -0.1969 hartree per atom
1.0
1.421 0.820 7.810
-1.421 0.820 7.810
0.000 -1.641 7.810
Fe Cu Cl
2 1 1
direct
0.249 0.249 0.249
0.751 0.751 0.751
0.000 0.000 0.000
0.500 0.500 0.500



Record 16
LiCrC2 (GGA-PBE, optimized geometry); Fermi-level density of states = 2.5 states/eV/cell; ΔE_f = 3.25 eV/f.u.; energy relative to the lowest polymorph listed for this composition = 0.0000 eV per atom; calculated total energy = -0.2456 hartree per atom
1.0
-2.330 2.330 4.807
2.330 -2.330 4.807
2.330 2.330 -4.807
Li Cr C
2 2 4
direct
0.000 0.000 0.000
0.750 0.250 0.500
0.250 0.750 0.500
0.500 0.500 0.000
0.226 0.625 0.101
0.375 0.476 0.601
0.524 0.125 0.899
0.875 0.774 0.399



Record 17
TaAsRu (GGA-PBE, optimized geometry); Fermi-level density of states = 1.3 states/eV/cell; ΔE_f = -0.59 eV/f.u.; calculated total energy = -0.3230 hartree per atom
1.0
0.000 2.120 5.229
2.105 0.000 5.229
2.105 2.120 0.000
Ta As Ru
1 1 1
direct
0.000 0.000 0.000
0.677 0.677 0.323
0.316 0.316 0.684



Record 18
Ge2SbRu (GGA-PBE, optimized geometry); Fermi-level density of states = 4.4 states/eV/cell; energy relative to the elements, uncorrected = 29 kJ/mol of atoms; calculated total energy = -0.1967 hartree per atom
1.0
-2.964 2.964 5.826
2.964 -2.964 5.826
2.964 2.964 -5.826
Ge Sb Ru
4 2 2
direct
0.072 0.625 0.947
0.375 0.322 0.447
0.678 0.125 0.053
0.875 0.928 0.553
0.250 0.750 0.500
0.500 0.500 0.000
0.000 0.000 0.000
0.750 0.250 0.500



Record 19
Cs4Tb3CeSe8 (GGA-PBE, optimized geometry); Fermi-level density of states = 4.5 states/eV/cell; energy relative to the elements, uncorrected = -165 kJ/mol of atoms; calculated total energy = -0.1803 hartree per atom
1.0
4.327 2.498 8.374
-4.327 2.498 8.374
0.000 -4.996 8.374
Cs Tb Ce Se
4 3 1 8
direct
0.000 0.000 0.000
0.000 0.500 0.500
0.500 0.000 0.500
0.500 0.500 0.000
0.000 0.000 0.500
0.000 0.500 0.000
0.500 0.000 0.000
0.500 0.500 0.500
0.222 0.732 0.732
0.228 0.228 0.228
0.268 0.268 0.778
0.268 0.778 0.268
0.732 0.222 0.732
0.732 0.732 0.222
0.772 0.772 0.772
0.778 0.268 0.268



Record 20
NdMgCuRh (GGA-PBE, optimized geometry); Fermi-level density of states = 3.5 states/eV/cell; ΔE_f = -1.29 eV/f.u.; calculated total energy = -0.1755 hartree per atom
1.0
0.000 3.397 3.397
3.397 0.000 3.397
3.397 3.397 0.000
Nd Mg Cu Rh
1 1 1 1
direct
0.000 0.000 0.000
0.500 0.500 0.500
0.750 0.750 0.750
0.250 0.250 0.250



Record 21
GaAg2Br6 (GGA-PBE, optimized geometry); Fermi-level density of states = 9.5 states/eV/cell; energy relative to the elements, uncorrected = -44 kJ/mol of atoms; energy relative to the lowest polymorph listed for this composition = 0.0206 eV per atom; calculated total energy = -0.0932 hartree per atom
1.0
6.727 0.000 0.000
0.000 7.178 0.000
-5.396 0.000 11.198
Ga Ag Br
2 4 12
direct
0.000 0.000 0.000
0.000 0.500 0.500
0.355 0.133 0.842
0.355 0.367 0.342
0.645 0.633 0.658
0.645 0.867 0.158
0.087 0.206 0.419
0.087 0.294 0.919
0.239 0.685 0.429
0.239 0.815 0.929
0.360 0.055 0.216
0.360 0.445 0.716
0.640 0.555 0.284
0.640 0.945 0.784
0.761 0.185 0.071
0.761 0.315 0.571
0.913 0.706 0.081
0.913 0.794 0.581



Record 22
CsAcSiTe4 (GGA-PBE, optimized geometry); energy relative to the elements, uncorrected = -90 kJ/mol of atoms; calculated total energy = -0.1549 hartree per atom
1.0
7.475 0.000 0.000
0.000 7.713 0.000
-3.499 0.000 10.086
Cs Ac Si Te
2 2 2 8
direct
0.250 0.250 0.064
0.750 0.750 0.936
0.236 0.250 0.551
0.764 0.750 0.449
0.202 0.750 0.322
0.798 0.250 0.678
0.020 0.508 0.717
0.020 0.992 0.717
0.393 0.750 0.168
0.396 0.750 0.566
0.604 0.250 0.434
0.607 0.250 0.832
0.980 0.008 0.283
0.980 0.492 0.283



Record 23
CsPH (GGA-PBE, optimized geometry); energy relative to the lowest polymorph listed for this composition = 0.0364 eV per atom; calculated total energy = -0.1294 hartree per atom
1.0
5.920 -2.774 0.000
5.920 2.774 0.000
-0.029 0.000 5.185
Cs P H
2 2 2
direct
0.130 0.130 0.215
0.870 0.870 0.785
0.429 0.429 0.352
0.571 0.571 0.648
0.343 0.343 0.547
0.657 0.657 0.453



Record 24
ReHg2Os2 (GGA-PBE, optimized geometry); Fermi-level density of states = 6.0 states/eV/cell; ΔE_f = 7.35 eV/f.u.; energy relative to the lowest polymorph listed for this composition = 0.5110 eV per atom; calculated total energy = -0.2070 hartree per atom
1.0
-1.819 1.819 7.146
1.819 -1.819 7.146
1.819 1.819 -7.146
Re Hg Os
1 2 2
direct
0.000 0.000 0.000
0.250 0.750 0.500
0.750 0.250 0.500
0.415 0.415 0.000
0.585 0.585 0.000



Record 25
DyScSiNi (GGA-PBE, optimized geometry); Fermi-level density of states = 1.1 states/eV/cell; energy relative to the elements, uncorrected = -49 kJ/mol of atoms; calculated total energy = -0.2220 hartree per atom
1.0
0.000 3.345 3.345
3.345 0.000 3.345
3.345 3.345 0.000
Dy Sc Si Ni
1 1 1 1
direct
0.000 0.000 0.000
0.500 0.500 0.500
0.750 0.750 0.750
0.250 0.250 0.250



Record 26
AgP2IO (GGA-PBE, optimized geometry); Fermi-level density of states = 4.2 states/eV/cell; energy relative to the elements, uncorrected = 87 kJ/mol of atoms; energy relative to the lowest polymorph listed for this composition = 0.0000 eV per atom; calculated total energy = -0.1152 hartree per atom
1.0
4.936 0.000 0.000
0.000 4.936 0.000
0.000 0.000 4.076
Ag P I O
1 2 1 1
direct
0.000 0.000 0.000
0.000 0.500 0.000
0.500 0.000 0.000
0.500 0.500 0.500
0.000 0.000 0.500



In the order shown, the computed magnetic moment values come out to 0.2505; 0.0000; 0.0000; 0.0000; 0.0000; 0.0000; 0.1712; 0.0000; 0.4361; 0.0008; 0.4873; 0.0000; 0.0000; 0.0000; 1.4461; 0.0000; 0.0000; 0.0000; 0.0616; 0.0000; 0.0000; 0.0000; 0.0000; 0.4043; 0.0000; 0.0629 μB/atom.